Material: Nd2Al4Ag5
Method: DFT, PBE
State: relaxed

E_tot	-40.9	eV for the cell shown
density of states at the Fermi level	4.5	states/eV/f.u.
calculated volume	227.22	Å³ per cell

The structure in CIF format:
```
data_Nd2Al4Ag5
_symmetry_space_group_name_H-M 'P 1'
_symmetry_Int_Tables_number 1
_cell_length_a 6.898
_cell_length_b 6.898
_cell_length_c 6.898
_cell_angle_alpha 130.27
_cell_angle_beta 101.01
_cell_angle_gamma 99.35
loop_
_symmetry_equiv_pos_as_xyz
'x,y,z'
loop_
_atom_site_label
_atom_site_type_symbol
_atom_site_fract_x
_atom_site_fract_y
_atom_site_fract_z
_atom_site_occupancy
Nd1 Nd 0.215 0.000 0.215 1
Nd2 Nd 0.785 0.000 0.785 1
Al1 Al 0.089 0.341 0.748 1
Al2 Al 0.406 0.659 0.748 1
Al3 Al 0.594 0.341 0.252 1
Al4 Al 0.911 0.659 0.252 1
Ag1 Ag 0.000 0.500 0.500 1
Ag2 Ag 0.295 0.042 0.748 1
Ag3 Ag 0.295 0.547 0.252 1
Ag4 Ag 0.705 0.453 0.748 1
Ag5 Ag 0.705 0.958 0.252 1
```